# 1
The following is a DFT calculation (PBE-GGA) of a relaxed Sm2Ga9Pt3 crystal.

The structure in POSCAR format:
```
Sm2Ga9Pt3
1.0
7.126 -0.011 -3.013
-4.173 6.515 -0.006
0.243 0.190 10.606
Ga Sm Pt
18 4 6
Direct
0.781 0.307 0.922
0.873 0.123 0.750
0.127 0.877 0.250
0.447 0.640 0.923
0.782 0.475 0.423
0.331 0.285 0.249
0.885 0.859 0.578
0.553 0.360 0.077
0.669 0.715 0.751
0.453 0.809 0.432
0.123 0.978 0.932
0.464 0.918 0.749
0.115 0.141 0.422
0.219 0.693 0.078
0.218 0.525 0.577
0.547 0.191 0.568
0.877 0.022 0.068
0.536 0.082 0.251
0.001 0.416 0.249
0.999 0.584 0.751
0.333 0.248 0.749
0.667 0.752 0.251
0.500 0.500 0.500
0.837 0.168 0.498
0.163 0.832 0.502
0.170 0.339 0.002
0.830 0.661 0.998
0.500 0.000 0.000
```

Properties
For the formation energy, the calculation gives -692 meV per atom. As for the space-group type: C2/c (15).

=====

# 2
The following is a DFT calculation (PBE-GGA) of a relaxed SrLaSi2Pb crystal.

The structure in POSCAR format:
```
SrLaSi2Pb
1.0
-3.096 1.828 4.203
-2.017 -5.467 0.892
4.175 -0.970 3.497
Sr Si La Pb
1 2 1 1
Direct
0.500 0.500 0.500
0.000 0.000 0.500
0.500 0.000 0.000
0.000 0.500 0.000
0.000 0.000 0.000
```

Properties
As for the space-group type: P4/mmm (123). For the formation energy (no corrections), the calculation gives 0.64 eV per atom.

=====

# 3
The following is a DFT calculation (PBE-GGA) of a relaxed Li2BeSnCl crystal.

The structure in POSCAR format:
```
Li2BeSnCl
1.0
-3.094 3.192 3.228
-2.003 -2.961 1.008
3.440 -0.901 4.188
Be Li Cl Sn
1 2 1 1
Direct
0.000 0.000 0.000
0.500 0.000 0.000
0.000 0.000 0.500
0.000 0.500 0.000
0.500 0.500 0.500
```

Properties
As for the space-group type: P4/mmm (123). For the formation energy (no corrections), the calculation gives 0.26 eV per atom.

=====

# 4
The following is a DFT calculation (PBE-GGA) of a relaxed BaSrScBe2 crystal.

The structure in POSCAR format:
```
BaSrScBe2
1.0
5.234 0.000 0.000
0.000 5.827 0.000
0.000 0.000 5.234
Sc Ba Be Sr
1 1 2 1
Direct
0.500 0.500 0.500
0.000 0.000 0.000
0.500 0.000 0.000
0.000 0.000 0.500
0.000 0.500 0.000
```

Properties
For the formation energy, the calculation gives 1660 meV per atom. As for the space-group type: P4/mmm (123).